First-principles (PBE with a Hubbard U) data for crystalline ErPuCo2O8 at its relaxed geometry, as listed in Alexandria.

Properties
Size of the total moment (μB per cell): 3.002
E_tot (eV per cell): -90.5

abc: 5.847 5.847 5.847
angles: 108.95 108.95 110.53
Atoms (fractional coordinates):
O (0.908, 0.705, 0.203)
O (0.739, 0.063, 0.676)
O (0.502, 0.705, 0.797)
O (0.295, 0.498, 0.203)
O (0.387, 0.063, 0.324)
O (0.937, 0.613, 0.676)
O (0.295, 0.092, 0.797)
O (0.937, 0.261, 0.324)
Pu (0.250, 0.750, 0.500)
Co (0.750, 0.250, 0.500)
Co (0.500, 0.500, 0.000)
Er (0.000, 0.000, 0.000)